# NaSrMgRe2 | Alexandria via LeMat-Bulk | GGA-PBE | relaxed
data_NaSrMgRe2
_space_group_name_H-M_alt 'P 4/m m m'
_space_group_IT_number 123
_space_group_name_Hall '-P 4 2'
_cell_length_a 4.944
_cell_length_b 4.944
_cell_length_c 5.044
_cell_angle_alpha 90.00
_cell_angle_beta 90.00
_cell_angle_gamma 90.00
loop_
_atom_site_label
_atom_site_type_symbol
_atom_site_fract_x
_atom_site_fract_y
_atom_site_fract_z
_atom_site_occupancy
Na1 Na 0.000 0.000 0.000 1
Sr1 Sr 0.000 0.000 0.500 1
Mg1 Mg 0.500 0.500 0.500 1
Re1 Re 0.000 0.500 0.000 1
# calculated total energy: -3.65 eV/atom
# volume: 123 Å³/cell
# density: 6.83 g cm⁻³

=====

# NaMg3Rh | Alexandria via LeMat-Bulk | GGA-PBE | relaxed
data_NaMg3Rh
_space_group_name_H-M_alt 'P m -3 m'
_space_group_IT_number 221
_space_group_name_Hall '-P 4 2 3'
_cell_length_a 4.870
_cell_length_b 4.870
_cell_length_c 4.870
_cell_angle_alpha 90.00
_cell_angle_beta 90.00
_cell_angle_gamma 90.00
loop_
_atom_site_label
_atom_site_type_symbol
_atom_site_fract_x
_atom_site_fract_y
_atom_site_fract_z
_atom_site_occupancy
Na1 Na 0.000 0.000 0.000 1
Mg1 Mg 0.000 0.000 0.500 1
Rh1 Rh 0.500 0.500 0.500 1
# volume: 115 Å³/cell
# energy relative to the lowest polymorph listed for this composition: 1.168 eV per atom
# density: 2.86 g cm⁻³